# 1
First-principles (PBEsol) data for a relaxed structure of Nd3NCl6, as listed in Alexandria.

total magnetic moment = 0.0 μB per formula unit
energy relative to the elements, uncorrected = -2.2016 eV/atom
space-group type = Pbca (61)

Lattice parameters (Å, degrees): 10.411 11.055 16.221 90.00 90.00 90.00
Fractional positions:
Nd (0.341, 0.966, 0.823)
Cl (0.103, 0.578, 0.228)
Cl (0.831, 0.713, 0.686)
Cl (0.748, 0.285, 0.955)
Cl (0.169, 0.213, 0.814)
Nd (0.141, 0.478, 0.062)
Nd (0.141, 0.022, 0.562)
Cl (0.169, 0.287, 0.314)
Cl (0.897, 0.422, 0.772)
Cl (0.871, 0.434, 0.339)
Nd (0.159, 0.034, 0.323)
Cl (0.248, 0.285, 0.545)
N (0.950, 0.908, 0.561)
Cl (0.358, 0.031, 0.446)
Cl (0.629, 0.934, 0.339)
Cl (0.528, 0.689, 0.625)
Cl (0.331, 0.713, 0.814)
Cl (0.103, 0.922, 0.728)
Nd (0.841, 0.534, 0.177)
N (0.550, 0.092, 0.061)
Cl (0.603, 0.922, 0.772)
Cl (0.129, 0.934, 0.161)
Nd (0.513, 0.290, 0.047)
Nd (0.487, 0.710, 0.953)
N (0.050, 0.408, 0.939)
N (0.450, 0.908, 0.939)
Nd (0.359, 0.522, 0.562)
Cl (0.897, 0.078, 0.272)
Nd (0.341, 0.534, 0.323)
Cl (0.142, 0.531, 0.446)
Cl (0.371, 0.066, 0.661)
Nd (0.359, 0.978, 0.062)
Cl (0.331, 0.787, 0.314)
Nd (0.641, 0.022, 0.938)
Cl (0.397, 0.078, 0.228)
Cl (0.248, 0.215, 0.045)
Cl (0.252, 0.715, 0.045)
Nd (0.841, 0.966, 0.677)
Nd (0.513, 0.210, 0.547)
Nd (0.659, 0.466, 0.677)
Cl (0.129, 0.566, 0.661)
Cl (0.752, 0.715, 0.455)
Cl (0.972, 0.189, 0.625)
Nd (0.859, 0.978, 0.438)
Cl (0.858, 0.031, 0.054)
Nd (0.659, 0.034, 0.177)
Nd (0.487, 0.790, 0.453)
Nd (0.987, 0.710, 0.547)
Cl (0.028, 0.689, 0.875)
Nd (0.013, 0.210, 0.953)
Nd (0.159, 0.466, 0.823)
Cl (0.629, 0.566, 0.839)
Cl (0.028, 0.811, 0.375)
Nd (0.641, 0.478, 0.438)
Nd (0.859, 0.522, 0.938)
Cl (0.858, 0.469, 0.554)
Cl (0.397, 0.422, 0.728)
Cl (0.669, 0.213, 0.686)
Cl (0.642, 0.969, 0.554)
Cl (0.642, 0.531, 0.054)
Nd (0.013, 0.290, 0.453)
N (0.950, 0.592, 0.061)
Cl (0.371, 0.434, 0.161)
N (0.550, 0.408, 0.561)
Cl (0.752, 0.785, 0.955)
Cl (0.142, 0.969, 0.946)
Cl (0.252, 0.785, 0.545)
Cl (0.871, 0.066, 0.839)
Cl (0.528, 0.811, 0.125)
Cl (0.472, 0.189, 0.875)
Cl (0.972, 0.311, 0.125)
Cl (0.603, 0.578, 0.272)
Cl (0.748, 0.215, 0.455)
Cl (0.358, 0.469, 0.946)
N (0.450, 0.592, 0.439)
Nd (0.987, 0.790, 0.047)
N (0.050, 0.092, 0.439)
Cl (0.669, 0.287, 0.186)
Cl (0.831, 0.787, 0.186)
Cl (0.472, 0.311, 0.375)



# 2
First-principles (PBEsol) data for a relaxed structure of Ca3TaC, as listed in Alexandria.

uncorrected energy = -17.035 eV per formula unit
total magnetic moment = 0.9 μB per formula unit
space-group type = Pm-3m (221)

Lattice parameters (Å, degrees): 5.433 5.433 5.433 90.00 90.00 90.00
Site moments in Bohr magnetons follow the coordinates.
Fractional positions:
Ta (0.000, 0.000, 0.000)  -0.21
Ca (0.000, 0.500, 0.000)  -0.02
Ca (0.000, 0.000, 0.500)  -0.02
Ca (0.500, 0.000, 0.000)  -0.02
C (0.500, 0.500, 0.500)  0.73



# 3
First-principles (PBEsol) data for a relaxed structure of NaScBeGe2, as listed in Alexandria.

uncorrected energy = -15.463 eV per formula unit
total magnetic moment = 0.0 μB per formula unit
space-group type = P4/mmm (123)

Lattice parameters (Å, degrees): 4.742 4.816 4.816 90.00 90.00 90.00
Fractional positions:
Be (0.500, 0.500, 0.500)
Na (0.000, 0.000, 0.000)
Ge (0.000, 0.000, 0.500)
Ge (0.000, 0.500, 0.000)
Sc (0.500, 0.000, 0.000)



# 4
First-principles (PBEsol) data for a relaxed structure of LiTaRe2, as listed in Alexandria.

total magnetic moment = 0.0 μB per formula unit
relative energy among the computed polymorphs = 0 kJ/mol of formula units
space-group type = Fm-3m (225)

Lattice parameters (Å, degrees): 4.353 4.353 4.353 60.00 60.00 60.00
Fractional positions:
Ta (0.500, 0.500, 0.500)
Li (0.000, 0.000, 0.000)
Re (0.750, 0.750, 0.750)
Re (0.250, 0.250, 0.250)



# 5
First-principles (PBEsol) data for a relaxed structure of LaSbRh3, as listed in Alexandria.

total magnetic moment = 0.0 μB per formula unit
energy relative to the elements, uncorrected = 0.9644 eV/atom
space-group type = Pm-3m (221)

Lattice parameters (Å, degrees): 4.817 4.817 4.817 90.00 90.00 90.00
Fractional positions:
Sb (0.500, 0.500, 0.500)
Rh (0.000, 0.000, 0.500)
Rh (0.000, 0.500, 0.000)
Rh (0.500, 0.000, 0.000)
La (0.000, 0.000, 0.000)



# 6
First-principles (PBEsol) data for a relaxed structure of Cd2GaCuSe4, as listed in Alexandria.

total magnetic moment = 0.0 μB per formula unit
energy relative to the elements, uncorrected = -0.4920 eV/atom
space-group type = I-42m (121)

Lattice parameters (Å, degrees): 5.788 5.788 7.173 113.80 113.80 90.00
Fractional positions:
Se (0.642, 0.137, 0.779)
Se (0.863, 0.863, 0.221)
Cd (0.250, 0.750, 0.500)
Ga (0.500, 0.500, 0.000)
Se (0.137, 0.642, 0.779)
Cu (0.000, 0.000, 0.000)
Cd (0.750, 0.250, 0.500)
Se (0.358, 0.358, 0.221)